Below is Cu5Ag3 after structural relaxation, with properties calculated at the PBE level.

Structure (POSCAR):
```
Cu5Ag3
1.0
4.4440 -1.3746 0.0000
4.4440 1.3746 0.0000
-1.7184 0.0000 9.2776
Cu Ag
5 3
Direct
0.0000 0.0000 0.0000 Cu
0.2494 0.2494 0.3730 Cu
0.2554 0.2554 0.8851 Cu
0.7446 0.7446 0.1149 Cu
0.7506 0.7506 0.6270 Cu
0.0000 0.0000 0.5000 Ag
0.4979 0.4979 0.2381 Ag
0.5021 0.5021 0.7619 Ag
```

Results
SG	C2/m, No. 12
ΔH_f (0 K)	108	meV per atom
calculated volume	14.2	Å³ per atom
E above lowest polymorph	0.061	eV per atom